# 1
The following is a SCAN calculation of a crystal of Li5VP4O14 relaxed with PBEsol, from the Alexandria database.

Results
Its total energy is -438.77 eV for the cell shown. The calculation puts the density at 3.0 g/cm3.

```
Li5VP4O14
1.0
-5.895 -1.926 3.038
1.821 -4.994 6.889
-0.771 5.700 6.789
P O Li V
8 28 10 2
direct
0.312 0.884 0.551
0.180 0.115 0.982
0.427 0.338 0.949
0.820 0.885 0.018
0.877 0.386 0.431
0.688 0.116 0.449
0.123 0.614 0.569
0.573 0.662 0.051
0.223 0.931 0.989
0.539 0.831 0.566
0.063 0.710 0.411
0.226 0.477 0.926
0.820 0.993 0.338
0.615 0.341 0.818
0.937 0.290 0.589
0.911 0.861 0.847
0.759 0.281 0.373
0.180 0.007 0.662
0.385 0.659 0.182
0.390 0.165 0.932
0.924 0.615 0.687
0.461 0.169 0.434
0.730 0.064 0.618
0.044 0.227 0.863
0.774 0.523 0.074
0.241 0.719 0.627
0.089 0.139 0.153
0.956 0.773 0.137
0.533 0.683 0.885
0.722 0.552 0.446
0.076 0.385 0.313
0.777 0.069 0.011
0.278 0.448 0.554
0.467 0.317 0.115
0.270 0.936 0.382
0.610 0.835 0.068
0.766 0.251 0.132
0.968 0.467 0.874
0.763 0.765 0.389
0.707 0.830 0.722
0.234 0.749 0.868
0.237 0.235 0.611
0.032 0.533 0.126
0.353 0.436 0.320
0.647 0.564 0.680
0.293 0.170 0.278
0.876 0.126 0.763
0.124 0.874 0.237
```

# 2
The following is a SCAN calculation of a crystal of Li2V3P9O28 relaxed with PBEsol, from the Alexandria database.

Results
Its total energy is -429.10 eV for the cell shown. The calculation puts the density at 3.1 g/cm3.

```
Li2V3P9O28
1.0
-6.976 -0.244 -0.786
2.308 -4.907 -7.130
2.355 -4.149 7.778
O Li V P
28 2 3 9
direct
0.031 0.353 0.051
0.386 0.359 0.053
0.279 0.472 0.576
0.602 0.653 0.207
0.721 0.528 0.424
0.928 0.915 0.145
0.276 0.560 0.951
0.727 0.161 0.681
0.580 0.114 0.366
0.244 0.197 0.184
0.614 0.641 0.947
0.969 0.647 0.949
0.883 0.313 0.259
0.076 0.664 0.416
0.398 0.347 0.793
0.273 0.839 0.319
0.724 0.440 0.049
0.072 0.085 0.855
0.924 0.336 0.584
0.117 0.687 0.741
0.691 0.121 0.949
0.765 0.844 0.524
0.408 0.622 0.388
0.756 0.803 0.816
0.592 0.378 0.612
0.420 0.886 0.634
0.235 0.156 0.476
0.309 0.879 0.051
0.801 0.087 0.261
0.199 0.913 0.739
0.735 0.980 0.741
0.000 0.500 0.500
0.265 0.020 0.259
0.638 0.664 0.391
0.181 0.698 0.922
0.184 0.239 0.032
0.290 0.760 0.441
0.816 0.761 0.968
0.362 0.336 0.609
0.710 0.240 0.559
0.500 0.500 0.000
0.819 0.302 0.078
```

# 3
The following is a SCAN calculation of a crystal of LiVPO4 relaxed with PBEsol, from the Alexandria database.

Results
Its relative energy among the computed polymorphs is 0.075 eV per atom. The calculation puts the density at 3.4 g/cm3.

```
LiVPO4
1.0
-1.317 4.404 3.067
-5.976 1.576 -1.654
-5.659 -3.830 6.166
O Li P V
16 4 4 4
direct
0.402 0.758 0.626
0.149 0.148 0.456
0.875 0.331 0.095
0.798 0.457 0.625
0.119 0.946 0.197
0.627 0.742 0.373
0.851 0.852 0.544
0.339 0.272 0.145
0.765 0.825 0.079
0.125 0.669 0.905
0.598 0.242 0.374
0.202 0.543 0.375
0.661 0.728 0.855
0.373 0.258 0.627
0.881 0.054 0.803
0.235 0.175 0.921
0.169 0.633 0.140
0.303 0.466 0.766
0.697 0.534 0.234
0.831 0.367 0.860
0.679 0.700 0.544
0.152 0.182 0.090
0.321 0.300 0.456
0.848 0.818 0.910
0.299 0.944 0.792
0.220 0.829 0.424
0.701 0.056 0.208
0.780 0.171 0.576
```

# 4
The following is a SCAN calculation of a crystal of Li5V3P8O29 relaxed with PBEsol, from the Alexandria database.

Results
Its total energy is -881.28 eV for the cell shown. The calculation puts the density at 2.6 g/cm3.

```
Li5V3P8O29
1.0
-7.333 -4.764 4.204
0.761 -2.910 9.224
-5.629 12.229 4.559
O P Li V
58 16 10 6
direct
0.954 0.819 0.055
0.214 0.310 0.146
0.979 0.241 0.597
0.306 0.948 0.652
0.050 0.765 0.223
0.160 0.496 0.705
0.819 0.954 0.555
0.552 0.633 0.318
0.510 0.111 0.806
0.310 0.214 0.646
0.954 0.593 0.149
0.496 0.160 0.205
0.840 0.504 0.295
0.879 0.761 0.690
0.950 0.235 0.777
0.367 0.448 0.182
0.765 0.050 0.723
0.889 0.490 0.694
0.235 0.950 0.277
0.690 0.786 0.354
0.732 0.557 0.461
0.350 0.571 0.831
0.443 0.268 0.039
0.712 0.375 0.669
0.815 0.175 0.074
0.167 0.833 0.750
0.268 0.443 0.539
0.046 0.181 0.945
0.633 0.552 0.818
0.239 0.121 0.810
0.111 0.510 0.306
0.429 0.650 0.669
0.288 0.625 0.331
0.185 0.825 0.926
0.948 0.306 0.152
0.833 0.167 0.250
0.375 0.712 0.169
0.650 0.429 0.169
0.761 0.879 0.190
0.046 0.407 0.851
0.490 0.889 0.194
0.121 0.239 0.310
0.504 0.840 0.795
0.571 0.350 0.331
0.593 0.954 0.649
0.181 0.046 0.445
0.825 0.185 0.426
0.021 0.759 0.403
0.407 0.046 0.351
0.694 0.052 0.348
0.241 0.979 0.097
0.175 0.815 0.574
0.557 0.732 0.961
0.759 0.021 0.903
0.786 0.690 0.854
0.448 0.367 0.682
0.625 0.288 0.831
0.052 0.694 0.848
0.297 0.380 0.638
0.236 0.074 0.351
0.885 0.336 0.681
0.926 0.764 0.149
0.764 0.926 0.649
0.074 0.236 0.851
0.380 0.297 0.138
0.273 0.808 0.656
0.664 0.115 0.819
0.336 0.885 0.181
0.115 0.664 0.319
0.703 0.620 0.362
0.808 0.273 0.156
0.727 0.192 0.344
0.192 0.727 0.844
0.620 0.703 0.862
0.869 0.800 0.937
0.650 0.194 0.999
0.000 0.000 0.500
0.350 0.806 0.001
0.194 0.650 0.499
0.806 0.350 0.501
0.000 0.000 0.000
0.800 0.869 0.437
0.200 0.131 0.563
0.131 0.200 0.063
0.530 0.470 0.750
0.974 0.586 0.770
0.026 0.414 0.230
0.470 0.530 0.250
0.414 0.026 0.730
0.586 0.974 0.270
```

# 5
The following is a SCAN calculation of a crystal of Li3V4P6O24 relaxed with PBEsol, from the Alexandria database.

Results
Its relative energy among the computed polymorphs is 0.039 eV per atom. The calculation puts the density at 3.2 g/cm3.

```
Li3V4P6O24
1.0
6.315 0.050 -0.032
-2.231 7.905 0.060
-2.588 -0.971 8.280
O P V Li
24 6 4 3
direct
0.623 0.184 0.214
0.843 0.705 0.539
0.232 0.735 0.455
0.157 0.295 0.461
0.476 0.832 0.274
0.811 0.395 0.047
0.904 0.814 0.828
0.109 0.000 0.659
0.524 0.168 0.726
0.683 0.945 0.594
0.401 0.351 0.035
0.967 0.262 0.843
0.033 0.738 0.157
0.255 0.525 0.247
0.891 0.000 0.341
0.096 0.186 0.172
0.768 0.265 0.545
0.599 0.649 0.965
0.745 0.475 0.753
0.377 0.816 0.786
0.317 0.055 0.406
0.740 0.498 0.293
0.189 0.605 0.953
0.260 0.502 0.707
0.249 0.708 0.285
0.887 0.857 0.652
0.356 0.637 0.846
0.644 0.363 0.154
0.113 0.143 0.348
0.751 0.292 0.715
0.122 0.371 0.057
0.372 0.944 0.616
0.878 0.629 0.943
0.628 0.056 0.384
0.000 0.500 0.500
0.227 0.263 0.692
0.773 0.737 0.308
```

# 6
The following is a SCAN calculation of a crystal of Li2VP4O13 relaxed with PBEsol, from the Alexandria database.

Results
Its total energy is -388.82 eV for the cell shown. The calculation puts the density at 2.7 g/cm3.

```
Li2VP4O13
1.0
-1.858 -3.881 2.589
5.569 -0.522 5.415
-3.716 8.026 9.480
O P Li V
26 8 4 2
direct
0.043 0.811 0.051
0.673 0.543 0.608
0.452 0.277 0.174
0.327 0.457 0.392
0.462 0.769 0.334
0.244 0.980 0.658
0.852 0.977 0.835
0.548 0.723 0.826
0.958 0.291 0.747
0.756 0.020 0.342
0.680 0.948 0.155
0.320 0.052 0.845
0.866 0.334 0.266
0.785 0.472 0.070
0.042 0.709 0.253
0.772 0.907 0.645
0.488 0.584 0.201
0.857 0.206 0.467
0.538 0.231 0.666
0.215 0.528 0.930
0.143 0.794 0.533
0.228 0.093 0.355
0.134 0.666 0.734
0.957 0.189 0.949
0.512 0.416 0.799
0.148 0.023 0.165
0.668 0.379 0.696
0.018 0.120 0.854
0.982 0.880 0.146
0.924 0.156 0.366
0.647 0.411 0.172
0.353 0.589 0.828
0.076 0.844 0.634
0.332 0.621 0.304
0.497 0.270 0.506
0.106 0.316 0.032
0.503 0.730 0.494
0.894 0.684 0.968
0.455 0.023 0.253
0.545 0.977 0.747
```

# 7
The following is a SCAN calculation of a crystal of Li4VP2O9 relaxed with PBEsol, from the Alexandria database.

Results
Its relative energy among the computed polymorphs is 0.005 eV per atom. The calculation puts the density at 2.8 g/cm3.

```
Li4VP2O9
1.0
-3.987 -2.966 -4.564
-1.517 -5.122 4.654
-3.556 5.286 4.659
V P Li O
2 4 8 18
direct
0.500 0.500 0.500
0.000 0.500 0.500
0.111 0.774 0.222
0.889 0.226 0.778
0.611 0.226 0.222
0.389 0.774 0.778
0.880 0.765 0.760
0.000 0.000 0.500
0.250 0.500 0.000
0.500 0.000 0.500
0.120 0.235 0.240
0.620 0.765 0.240
0.750 0.500 0.000
0.380 0.235 0.760
0.508 0.284 0.016
0.541 0.684 0.694
0.459 0.316 0.306
0.644 0.021 0.287
0.992 0.284 0.984
0.492 0.716 0.984
0.356 0.979 0.713
0.250 0.411 0.500
0.959 0.684 0.306
0.653 0.316 0.694
0.008 0.716 0.016
0.847 0.316 0.306
0.750 0.589 0.500
0.144 0.979 0.287
0.856 0.021 0.713
0.347 0.684 0.306
0.041 0.316 0.694
0.153 0.684 0.694
```

# 8
The following is a SCAN calculation of a crystal of LiVPO5 relaxed with PBEsol, from the Alexandria database.

Results
Its relative energy among the computed polymorphs is 0.000 eV per atom. The calculation puts the density at 3.2 g/cm3.

```
LiVPO5
1.0
-4.430 4.298 1.119
-4.427 -4.403 -0.614
0.516 -1.729 8.682
O P V Li
20 4 4 4
direct
0.554 0.264 0.602
0.240 0.550 0.102
0.951 0.261 0.103
0.766 0.447 0.396
0.749 0.756 0.140
0.054 0.764 0.898
0.766 0.053 0.896
0.740 0.050 0.398
0.451 0.761 0.397
0.266 0.947 0.104
0.266 0.553 0.604
0.740 0.450 0.898
0.054 0.736 0.398
0.249 0.244 0.860
0.554 0.236 0.102
0.249 0.256 0.360
0.451 0.739 0.897
0.240 0.950 0.602
0.749 0.744 0.640
0.951 0.239 0.603
0.753 0.249 0.500
0.753 0.251 0.000
0.253 0.749 0.000
0.253 0.751 0.500
0.752 0.752 0.958
0.252 0.252 0.542
0.752 0.748 0.458
0.252 0.248 0.042
0.010 0.007 0.754
0.010 0.493 0.254
0.510 0.993 0.246
0.510 0.507 0.746
```